[1]
{
  "formula": "ErHfRe4",
  "functional": "GGA-PBE",
  "state": "optimized geometry",
  "formation_enthalpy_0k_ev_per_atom": -0.264,
  "sg": "No. 216",
  "lattice_angstrom": [[5.338, 0.000, 0.000], [2.669, 4.623, 0.000], [2.669, 1.541, 4.358]],
  "species": ["Re", "Re", "Hf", "Re", "Re", "Er"],
  "frac_coords": [[0.625, 0.625, 0.625], [0.625, 0.625, 0.124], [0.000, 0.000, 0.000], [0.625, 0.124, 0.625], [0.124, 0.625, 0.625], [0.250, 0.250, 0.250]]
}



[2]
{
  "formula": "ScTaTe",
  "functional": "GGA-PBE",
  "state": "optimized geometry",
  "formation_energy_uncorrected_mev_per_atom": -175,
  "de_polymorph_mev_per_atom": 0,
  "sg": "No. 107",
  "lattice_angstrom": [[5.421, -0.006, 0.000], [3.016, 4.505, 0.000], [-4.219, -2.249, 2.556]],
  "species": ["Te", "Ta", "Sc"],
  "frac_coords": [[0.679, 0.679, 0.000], [0.323, 0.323, 0.000], [0.998, 0.998, 0.000]]
}



[3]
{
  "formula": "Pa3Ga2Ni4",
  "functional": "GGA-PBE",
  "state": "optimized geometry",
  "formation_enthalpy_0k_ev_per_atom": -0.470,
  "de_polymorph_mev_per_atom": 0,
  "sg": "No. 12",
  "lattice_angstrom": [[-2.343, 3.469, -0.612], [-2.859, -4.712, -1.140], [0.617, 1.780, 7.722]],
  "species": ["Ni", "Ga", "Ga", "Pa", "Pa", "Ni", "Ni", "Ni", "Pa"],
  "frac_coords": [[0.723, 0.445, 0.063], [0.659, 0.318, 0.321], [0.341, 0.682, 0.679], [0.631, 0.262, 0.684], [0.369, 0.738, 0.316], [0.927, 0.853, 0.599], [0.073, 0.147, 0.401], [0.277, 0.555, 0.937], [0.000, 0.000, 0.000]]
}



| no. | total moment (μB/f.u.) |
| --- | --- |
| 1 | 0.0 |
| 2 | 0.0 |
| 3 | 0.0 |